The following is a DFT calculation (GGA-PBE) of crystalline Zr3CSN at its relaxed geometry.

POSCAR file:
```
Zr3CSN
1.0
3.3584 0.0000 0.0000
-1.6792 2.9085 0.0000
0.0000 0.0000 17.6553
Zr C S N
6 2 2 2
Direct
0.0000 0.0000 0.0000
0.0000 0.0000 0.5000
0.3333 0.6667 0.1459
0.3333 0.6667 0.3542
0.6667 0.3333 0.6458
0.6667 0.3333 0.8541
0.3333 0.6667 0.5790
0.6667 0.3333 0.4210
0.0000 0.0000 0.2479
0.0000 0.0000 0.7521
0.3333 0.6667 0.9274
0.6667 0.3333 0.0726
```

The total energy is -9.2686 eV per atom.